No. 1
! Sr3NdBi2As, optimized geometry, DFT PBE-GGA; values from VASP
! ΔE_f = -0.901 eV/atom
! Magnetic moment = 0.00 μB/f.u.
! Space group = Immm, No. 71
! Density of states at the Fermi level = 0.066 states/eV/atom
! Total DFT energy (no corrections) = -0.300 Ry per atom
&SYSTEM
  ibrav = 0, nat = 7, ntyp = 4
/
ATOMIC_SPECIES
Sr 87.62 Sr.upf
Nd 144.24 Nd.upf
Bi 208.98 Bi.upf
As 74.92 As.upf
CELL_PARAMETERS angstrom
-2.813 2.820 8.729
2.813 -2.820 8.729
2.813 2.820 -8.729
ATOMIC_POSITIONS angstrom
Sr 0.000 0.000 0.000
Sr 2.813 0.000 3.090
Sr 0.000 2.820 5.639
Nd 0.000 0.000 8.729
Bi 2.813 0.000 6.463
Bi 0.000 2.820 2.265
As 2.813 0.000 0.000

No. 2
! NaAl3Pt, optimized geometry, DFT PBE-GGA; values from VASP
! ΔE_f = -0.198 eV/atom
! Magnetic moment = 0.00 μB/f.u.
! Space group = Pm-3m, No. 221
! Excess energy over the best structure of this formula in the dataset = 0.000 eV per atom
! Density of states at the Fermi level = 0.730 states/eV/atom
! Total DFT energy (no corrections) = -0.288 Ry per atom
&SYSTEM
  ibrav = 0, nat = 5, ntyp = 3
/
ATOMIC_SPECIES
Na 22.99 Na.upf
Al 26.98 Al.upf
Pt 195.08 Pt.upf
CELL_PARAMETERS angstrom
4.843 0.000 0.000
0.000 4.843 0.000
0.000 0.000 4.843
ATOMIC_POSITIONS angstrom
Na 0.000 0.000 0.000
Al 0.000 2.422 2.422
Al 2.422 0.000 2.422
Al 2.422 2.422 0.000
Pt 2.422 2.422 2.422

No. 3
! La3Tb3Cd2, optimized geometry, DFT PBE-GGA; values from VASP
! ΔE_f = -0.074 eV/atom
! Magnetic moment = 0.00 μB/f.u.
! Space group = Cmcm, No. 63
! Density of states at the Fermi level = 1.135 states/eV/atom
! Total DFT energy (no corrections) = -0.286 Ry per atom
&SYSTEM
  ibrav = 0, nat = 16, ntyp = 3
/
ATOMIC_SPECIES
La 138.91 La.upf
Tb 158.93 Tb.upf
Cd 112.41 Cd.upf
CELL_PARAMETERS angstrom
2.692 -5.972 0.000
2.692 5.972 0.000
0.000 0.000 16.001
ATOMIC_POSITIONS angstrom
La 2.692 5.524 9.727
La 2.692 5.524 14.274
La 2.692 2.726 12.001
La 2.692 -2.726 4.000
La 2.692 -5.524 1.727
La 2.692 -5.524 6.274
Tb 2.692 1.693 8.574
Tb 2.692 1.693 15.428
Tb 2.692 0.571 4.000
Tb 2.692 -0.571 12.001
Tb 2.692 -1.693 0.573
Tb 2.692 -1.693 7.427
Cd 2.692 3.132 2.103
Cd 2.692 3.132 5.897
Cd 2.692 -3.132 10.104
Cd 2.692 -3.132 13.897

No. 4
! HoErTm2Se6, optimized geometry, DFT PBE-GGA; values from VASP
! Magnetic moment = 0.00 μB/f.u.
! Space group = R3, No. 146
! ΔE_f (raw) = -42.486 kcal/mol of atoms
! Density of states at the Fermi level = 0.000 states/eV/atom
! Total DFT energy (no corrections) = -0.422 Ry per atom
&SYSTEM
  ibrav = 0, nat = 10, ntyp = 4
/
ATOMIC_SPECIES
Ho 164.93 Ho.upf
Er 167.26 Er.upf
Tm 168.93 Tm.upf
Se 78.96 Se.upf
CELL_PARAMETERS angstrom
3.563 2.057 6.436
-3.563 2.057 6.436
0.000 -4.114 6.436
ATOMIC_POSITIONS angstrom
Ho 0.000 0.000 0.000
Er 0.000 0.000 9.643
Tm 0.000 0.000 5.890
Tm 0.000 0.000 15.551
Se -2.178 -0.027 7.756
Se -1.377 -2.074 10.972
Se 1.112 -1.873 7.756
Se -1.107 2.229 10.972
Se 1.066 1.900 7.756
Se 2.484 -0.156 10.972

No. 5
! TbSmMgCd, optimized geometry, DFT PBE-GGA; values from VASP
! ΔE_f = -0.203 eV/atom
! Magnetic moment = 0.00 μB/f.u.
! Space group = F-43m, No. 216
! Excess energy over the best structure of this formula in the dataset = 0.003 eV per atom
! Density of states at the Fermi level = 1.196 states/eV/atom
! Total DFT energy (no corrections) = -0.233 Ry per atom
&SYSTEM
  ibrav = 0, nat = 4, ntyp = 4
/
ATOMIC_SPECIES
Tb 158.93 Tb.upf
Sm 150.36 Sm.upf
Mg 24.30 Mg.upf
Cd 112.41 Cd.upf
CELL_PARAMETERS angstrom
0.000 3.802 3.802
3.802 0.000 3.802
3.802 3.802 0.000
ATOMIC_POSITIONS angstrom
Tb 0.000 0.000 0.000
Sm 3.802 3.802 3.802
Mg 5.702 5.702 5.702
Cd 1.901 1.901 1.901

No. 6
! Zn2IrF, optimized geometry, DFT PBE-GGA; values from VASP
! Magnetic moment = 0.00 μB/f.u.
! Space group = Fm-3m, No. 225
! ΔE_f (raw) = -3.609 kcal/mol of atoms
! Excess energy over the best structure of this formula in the dataset = 0.202 eV per atom
! Density of states at the Fermi level = 0.228 states/eV/atom
! Total DFT energy (no corrections) = -0.256 Ry per atom
&SYSTEM
  ibrav = 0, nat = 4, ntyp = 3
/
ATOMIC_SPECIES
Zn 65.41 Zn.upf
Ir 192.22 Ir.upf
F 19.00 F.upf
CELL_PARAMETERS angstrom
0.000 3.039 3.039
3.039 0.000 3.039
3.039 3.039 0.000
ATOMIC_POSITIONS angstrom
Zn 1.520 1.520 1.520
Zn 4.559 4.559 4.559
Ir 0.000 0.000 0.000
F 3.039 3.039 3.039

Question: Look up the total DFT energy (no corrections) of the second one.
Answer: -0.288 Ry per atom